Record 1
# GGA-PBE In2Bi2Pd7, relaxed
# Calculated total energy in eV/atom: -4.815
# Fermi-level density of states in states/eV per cell: 7.82
# Calculated formation energy in meV per atom: -307
data_In2Bi2Pd7
_chemical_formula_sum 'In4 Bi4 Pd14'
_space_group_name_H-M_alt 'I m m 2'
_space_group_IT_number 44
_cell_length_a 4.293
_cell_length_b 13.818
_cell_length_c 7.026
_cell_angle_alpha 90.00
_cell_angle_beta 90.00
_cell_angle_gamma 90.00
loop_
_space_group_symop_operation_xyz
'x,y,z'
'-x,-y,z'
'-x,y,z'
'x,-y,z'
'x+1/2,y+1/2,z+1/2'
'-x+1/2,-y+1/2,z+1/2'
'-x+1/2,y+1/2,z+1/2'
'x+1/2,-y+1/2,z+1/2'
loop_
_atom_site_label
_atom_site_type_symbol
_atom_site_fract_x
_atom_site_fract_y
_atom_site_fract_z
_atom_site_occupancy
In1 In 0.000 0.000 0.000 1
In2 In 0.000 0.500 0.155 1
Bi1 Bi 0.000 0.282 0.953 1
Pd1 Pd 0.000 0.126 0.675 1
Pd2 Pd 0.000 0.146 0.256 1
Pd3 Pd 0.000 0.363 0.461 1
Pd4 Pd 0.000 0.500 0.770 1

***

Record 2
# GGA-PBE Rb2UCoSe6, relaxed
# Calculated total energy in eV/atom: -4.834
# Fermi-level density of states in states/eV per cell: 32.09
# Uncorrected formation energy in eV/atom: -0.710
data_Rb2UCoSe6
_chemical_formula_sum 'Rb8 U4 Co4 Se24'
_space_group_name_H-M_alt 'F m -3 m'
_space_group_IT_number 225
_space_group_name_Hall '-F 4 2 3'
_cell_length_a 10.374
_cell_length_b 10.374
_cell_length_c 10.374
_cell_angle_alpha 90.00
_cell_angle_beta 90.00
_cell_angle_gamma 90.00
loop_
_atom_site_label
_atom_site_type_symbol
_atom_site_fract_x
_atom_site_fract_y
_atom_site_fract_z
_atom_site_occupancy
Rb1 Rb 0.250 0.250 0.250 1
U1 U 0.000 0.000 0.000 1
Co1 Co 0.000 0.000 0.500 1
Se1 Se 0.000 0.000 0.258 1

***

Record 3
# GGA-PBE Ce5Th4Mg, relaxed
# Calculated total energy in eV/atom: -6.074
# Fermi-level density of states in states/eV per cell: 21.35
# Calculated formation energy in meV per atom: 20
data_Ce5Th4Mg
_chemical_formula_sum 'Ce5 Th4 Mg1'
_space_group_name_H-M_alt 'P 4/m m m'
_space_group_IT_number 123
_space_group_name_Hall '-P 4 2'
_cell_length_a 3.474
_cell_length_b 3.474
_cell_length_c 24.159
_cell_angle_alpha 90.00
_cell_angle_beta 90.00
_cell_angle_gamma 90.00
loop_
_atom_site_label
_atom_site_type_symbol
_atom_site_fract_x
_atom_site_fract_y
_atom_site_fract_z
_atom_site_occupancy
Ce1 Ce 0.000 0.000 0.000 1
Ce2 Ce 0.000 0.000 0.201 1
Ce3 Ce 0.000 0.000 0.402 1
Th1 Th 0.500 0.500 0.100 1
Th2 Th 0.500 0.500 0.301 1
Mg1 Mg 0.500 0.500 0.500 1

***

Record 4
# GGA-PBE MgFeAs, relaxed
# Calculated total energy in eV/atom: -4.895
# Fermi-level density of states in states/eV per cell: 1.60
# Calculated formation energy in meV per atom: 7
data_MgFeAs
_chemical_formula_sum 'Mg1 Fe1 As1'
_space_group_name_H-M_alt 'P 3 m 1'
_space_group_IT_number 156
_cell_length_a 3.0564
_cell_length_b 3.0564
_cell_length_c 6.0591
_cell_angle_alpha 90.00
_cell_angle_beta 90.00
_cell_angle_gamma 120.00
loop_
_space_group_symop_operation_xyz
'x,y,z'
'-y,x-y,z'
'-x+y,-x,z'
'-y,-x,z'
'-x+y,y,z'
'x,x-y,z'
loop_
_atom_site_label
_atom_site_type_symbol
_atom_site_fract_x
_atom_site_fract_y
_atom_site_fract_z
_atom_site_occupancy
Mg1 Mg 0.0000 0.0000 0.0000 1
Fe1 Fe 0.3333 0.6667 0.6583 1
As1 As 0.6667 0.3333 0.4023 1

***

Record 5
# GGA-PBE Na3NiH4, relaxed
# Calculated total energy in eV/atom: -3.011
# Fermi-level density of states in states/eV per cell: 1.80
data_Na3NiH4
_chemical_formula_sum 'Na6 Ni2 H8'
_space_group_name_H-M_alt 'I m m 2'
_space_group_IT_number 44
_cell_length_a 5.255
_cell_length_b 7.953
_cell_length_c 4.709
_cell_angle_alpha 90.00
_cell_angle_beta 90.00
_cell_angle_gamma 90.00
loop_
_space_group_symop_operation_xyz
'x,y,z'
'-x,-y,z'
'-x,y,z'
'x,-y,z'
'x+1/2,y+1/2,z+1/2'
'-x+1/2,-y+1/2,z+1/2'
'-x+1/2,y+1/2,z+1/2'
'x+1/2,-y+1/2,z+1/2'
loop_
_atom_site_label
_atom_site_type_symbol
_atom_site_fract_x
_atom_site_fract_y
_atom_site_fract_z
_atom_site_occupancy
Na1 Na 0.000 0.000 0.000 1
Na2 Na 0.000 0.262 0.514 1
Ni1 Ni 0.000 0.500 0.002 1
H1 H 0.000 0.304 0.026 1
H2 H 0.210 0.000 0.458 1

***

Record 6
# GGA-PBE SrPr2Ir, relaxed
# Calculated total energy in eV/atom: -5.262
# Fermi-level density of states in states/eV per cell: 3.46
# Calculated formation energy in meV per atom: -236
data_SrPr2Ir
_chemical_formula_sum 'Sr1 Pr2 Ir1'
_space_group_name_H-M_alt 'P 4/m m m'
_space_group_IT_number 123
_space_group_name_Hall '-P 4 2'
_cell_length_a 3.664
_cell_length_b 3.664
_cell_length_c 10.181
_cell_angle_alpha 90.00
_cell_angle_beta 90.00
_cell_angle_gamma 90.00
loop_
_atom_site_label
_atom_site_type_symbol
_atom_site_fract_x
_atom_site_fract_y
_atom_site_fract_z
_atom_site_occupancy
Sr1 Sr 0.000 0.000 0.000 1
Pr1 Pr 0.500 0.500 0.338 1
Ir1 Ir 0.000 0.000 0.500 1

***

What did the fifth record say?
# GGA-PBE Na3NiH4, relaxed
# Calculated total energy in eV/atom: -3.011
# Fermi-level density of states in states/eV per cell: 1.80
data_Na3NiH4
_chemical_formula_sum 'Na6 Ni2 H8'
_space_group_name_H-M_alt 'I m m 2'
_space_group_IT_number 44
_cell_length_a 5.255
_cell_length_b 7.953
_cell_length_c 4.709
_cell_angle_alpha 90.00
_cell_angle_beta 90.00
_cell_angle_gamma 90.00
loop_
_space_group_symop_operation_xyz
'x,y,z'
'-x,-y,z'
'-x,y,z'
'x,-y,z'
'x+1/2,y+1/2,z+1/2'
'-x+1/2,-y+1/2,z+1/2'
'-x+1/2,y+1/2,z+1/2'
'x+1/2,-y+1/2,z+1/2'
loop_
_atom_site_label
_atom_site_type_symbol
_atom_site_fract_x
_atom_site_fract_y
_atom_site_fract_z
_atom_site_occupancy
Na1 Na 0.000 0.000 0.000 1
Na2 Na 0.000 0.262 0.514 1
Ni1 Ni 0.000 0.500 0.002 1
H1 H 0.000 0.304 0.026 1
H2 H 0.210 0.000 0.458 1

***

- calculated total energy of number 1 (In2Bi2Pd7)?
  -4.815 eV/atom